1.
Entry from Alexandria via LeMat-Bulk: a relaxed structure of CaS3O9 (PBE).

a = 7.4184 Å, b = 7.4184 Å, c = 7.1206 Å
α = 90.00°, β = 90.00°, γ = 98.85°
Last column: nearest neighbours and their distance in Å.
Atoms (fractional coordinates):
O 0.5949 0.6518 0.6619  1 S 1.51
O 0.6997 0.9064 0.4425  1 S 1.48
O 0.7233 0.2926 0.9468  1 S 1.45
O 0.3234 0.0441 0.4967  1 S 1.46
O 0.4051 0.3482 0.1619  1 S 1.51
O 0.6518 0.5949 0.3381  1 S 1.51
O 0.3482 0.4051 0.8381  1 S 1.51
O 0.9559 0.6766 0.0033  1 S 1.46
O 0.6766 0.9559 0.9967  1 S 1.46
O 0.2767 0.7074 0.4468  1 S 1.45
O 0.2926 0.7233 0.0532  1 S 1.45
O 0.3003 0.0936 0.9425  1 S 1.48
O 0.0441 0.3234 0.5033  1 S 1.46
O 0.9036 0.0964 0.7500  2 S 1.68
O 0.9064 0.6997 0.5575  1 S 1.48
O 0.0964 0.9036 0.2500  2 S 1.68
O 0.0936 0.3003 0.0575  1 S 1.48
O 0.7074 0.2767 0.5532  1 S 1.45
S 0.1244 0.8011 0.0432  2 O 1.45-1.46
S 0.2811 0.2811 0.0000  4 O 1.48-1.51
S 0.7189 0.7189 0.5000  4 O 1.48-1.51
S 0.8011 0.1244 0.9568  2 O 1.45-1.46
S 0.1989 0.8756 0.4568  2 O 1.45-1.46
S 0.8756 0.1989 0.5432  2 O 1.45-1.46
Ca 0.3974 0.3974 0.5000  8 O 2.44-2.62
Ca 0.6026 0.6026 0.0000  8 O 2.44-2.62

- formation energy from raw total energies (eV per atom) = -1.390
- symmetry = C222_1 (20)

---

2.
Entry from Alexandria via LeMat-Bulk: a relaxed structure of YLuGaAg (PBE).

a = 5.0633 Å, b = 5.0633 Å, c = 5.0633 Å
α = 60.00°, β = 60.00°, γ = 60.00°
Last column: nearest neighbours and their distance in Å.
Atoms (fractional coordinates):
Ga 0.5000 0.5000 0.5000  4 Lu 3.10, 4 Y 3.10
Y 0.7500 0.7500 0.7500  4 Ga 3.10, 4 Ag 3.10
Ag 0.0000 0.0000 0.0000  4 Y 3.10, 4 Lu 3.10
Lu 0.2500 0.2500 0.2500  4 Ag 3.10, 4 Ga 3.10

- ΔE_f (eV per atom) = -0.47
- symmetry = F-43m (216)
- DOS at the Fermi energy (states/eV/cell) = 2.331

---

3.
Entry from Alexandria via LeMat-Bulk: a relaxed structure of Ac8TlRh2 (PBE).

a = 6.1444 Å, b = 8.7230 Å, c = 8.7230 Å
α = 115.36°, β = 97.59°, γ = 97.59°
Last column: nearest neighbours and their distance in Å.
Atoms (fractional coordinates):
Ac 0.4235 0.9212 0.6636  2 Rh 2.99-3.12
Ac 0.5762 0.3424 0.0849  2 Rh 2.99-3.12
Ac 0.9999 0.7600 0.2456  2 Rh 3.13-3.14
Ac 0.1955 0.3915 0.3915  1 Tl 3.52, 4 Ac 3.55-3.81, 2 Rh 3.69
Ac 0.4235 0.6636 0.9212  2 Rh 2.99-3.12
Ac 0.8051 0.6152 0.6152  1 Tl 3.52, 4 Ac 3.55-3.81, 2 Rh 3.69
Ac 0.5762 0.0849 0.3424  2 Rh 2.99-3.12
Ac 0.9999 0.2456 0.7600  2 Rh 3.13-3.14
Rh 0.4999 0.7177 0.2885  6 Ac 2.99-3.14
Rh 0.4999 0.2885 0.7177  6 Ac 2.99-3.14
Tl 0.0001 0.0034 0.0034  4 Ac 3.52-3.58

- energy relative to the lowest polymorph listed for this composition (eV per formula unit) = 0.00
- ΔE_f (eV per atom) = -0.26
- symmetry = Cm (8)
- DOS at the Fermi energy (states/eV/cell) = 12.261

---

4.
Entry from Alexandria via LeMat-Bulk: a relaxed structure of Tm4AlPd2 (PBE).

a = 4.8825 Å, b = 4.8825 Å, c = 7.0182 Å
α = 90.00°, β = 90.00°, γ = 90.00°
Last column: nearest neighbours and their distance in Å.
Atoms (fractional coordinates):
Pd 0.5000 0.5000 0.5000  8 Tm 2.98
Pd 0.0000 0.0000 0.0000  8 Tm 3.04
Al 0.5000 0.5000 0.0000  8 Tm 3.04
Tm 0.0000 0.5000 0.7425  4 Pd 2.98-3.04, 2 Al 3.04
Tm 0.5000 0.0000 0.2575  4 Pd 2.98-3.04, 2 Al 3.04
Tm 0.5000 0.0000 0.7425  4 Pd 2.98-3.04, 2 Al 3.04
Tm 0.0000 0.5000 0.2575  4 Pd 2.98-3.04, 2 Al 3.04

- energy relative to the lowest polymorph listed for this composition (eV per formula unit) = 0.00
- ΔE_f (eV per atom) = -0.55
- symmetry = P4/mmm (123)
- DOS at the Fermi energy (states/eV/cell) = 5.468

---

Calculated values (μB per formula unit) of M_tot for the records, taken in order: 0.00, 0.00, 0.00, 0.00.